No. 1
First-principles (GGA-PBE) data for an optimized crystal structure of AgHgPd2F8, as listed in Alexandria via LeMat-Bulk.

Summary:
- Crystal system: trigonal
- D(E_F): 2.59 states/eV/f.u.
- Uncorrected formation energy: -0.90 eV/atom

Unit cell a=6.270 b=6.270 c=5.670 alpha=90.00 beta=90.00 gamma=120.00
Element x y z (fractional)
F 0.667 0.333 0.401
F 0.057 0.376 0.155
F 0.943 0.624 0.845
F 0.682 0.057 0.845
Ag 0.000 0.000 0.000
Hg 0.000 0.000 0.500
Pd 0.667 0.333 0.051
F 0.376 0.318 0.845
F 0.624 0.682 0.155
F 0.318 0.943 0.155
F 0.333 0.667 0.599
Pd 0.333 0.667 0.949

No. 2
First-principles (GGA-PBE) data for an optimized crystal structure of Ag2HgPdF6, as listed in Alexandria via LeMat-Bulk.

Summary:
- Crystal system: monoclinic
- Uncorrected formation energy: -1.17 eV/atom

Unit cell a=5.566 b=6.015 c=10.133 alpha=90.00 beta=90.42 gamma=90.00
Element x y z (fractional)
F 0.743 0.808 0.594
F 0.359 0.928 0.811
F 0.162 0.242 0.090
Hg 0.500 0.000 0.000
F 0.141 0.428 0.689
F 0.641 0.072 0.189
Pd 0.000 0.500 0.000
F 0.859 0.572 0.311
F 0.243 0.692 0.094
Ag 0.529 0.552 0.756
F 0.838 0.758 0.910
Ag 0.471 0.448 0.244
Pd 0.500 0.000 0.500
F 0.757 0.308 0.906
F 0.257 0.192 0.406
Ag 0.029 0.948 0.256
Hg 0.000 0.500 0.500
Ag 0.971 0.052 0.744
F 0.662 0.258 0.590
F 0.338 0.742 0.410

No. 3
First-principles (GGA-PBE) data for an optimized crystal structure of PmAg2HgF6, as listed in Alexandria via LeMat-Bulk.

Summary:
- Crystal system: triclinic
- D(E_F): 3.29 states/eV/f.u.
- Uncorrected formation energy: -2.14 eV/atom

Unit cell a=7.016 b=5.777 c=6.626 alpha=56.76 beta=51.11 gamma=62.92
Element x y z (fractional)
F 0.733 0.974 0.856
Ag 0.479 0.667 0.374
F 0.467 0.621 0.805
Pm 0.806 0.833 0.550
Ag 0.099 0.995 0.804
F 0.155 0.989 0.140
Hg 0.297 0.243 0.230
F 0.101 0.490 0.646
F 0.898 0.613 0.283
F 0.627 0.236 0.328

No. 4
First-principles (GGA-PBE) data for an optimized crystal structure of PmAgHgF6, as listed in Alexandria via LeMat-Bulk.

Summary:
- Crystal system: tetragonal
- Uncorrected formation energy: -2.46 eV/atom

Unit cell a=5.422 b=5.422 c=11.239 alpha=90.00 beta=90.00 gamma=90.00
Element x y z (fractional)
Hg 0.000 0.000 0.334
Pm 0.500 0.500 0.167
F 0.796 0.204 0.177
Ag 0.500 0.500 0.500
Ag 0.000 0.000 0.000
F 0.816 0.184 0.506
F 0.799 0.201 0.817
F 0.701 0.701 0.317
F 0.296 0.296 0.677
F 0.704 0.704 0.677
F 0.184 0.816 0.506
F 0.201 0.799 0.817
Hg 0.500 0.500 0.834
F 0.684 0.684 0.006
F 0.204 0.796 0.177
F 0.299 0.299 0.317
F 0.316 0.316 0.006
Pm 0.000 0.000 0.667

No. 5
First-principles (GGA-PBE) data for an optimized crystal structure of PuAgHgF6, as listed in Alexandria via LeMat-Bulk.

Summary:
- Crystal system: trigonal
- D(E_F): 13.92 states/eV/f.u.
- Uncorrected formation energy: -2.28 eV/atom

Unit cell a=6.548 b=6.548 c=9.109 alpha=90.00 beta=90.00 gamma=120.00
Element x y z (fractional)
F 0.304 0.383 0.882
F 0.304 0.921 0.618
Hg 0.333 0.667 0.250
F 0.696 0.617 0.118
F 0.617 0.696 0.618
Hg 0.667 0.333 0.750
Ag 0.000 0.000 0.000
F 0.383 0.304 0.382
Ag 0.000 0.000 0.500
Pu 0.333 0.667 0.750
F 0.921 0.617 0.382
F 0.079 0.383 0.618
F 0.921 0.304 0.118
F 0.079 0.696 0.882
F 0.696 0.079 0.382
F 0.617 0.921 0.882
Pu 0.667 0.333 0.250
F 0.383 0.079 0.118

No. 6
First-principles (GGA-PBE) data for an optimized crystal structure of RbAg4Hg3F12, as listed in Alexandria via LeMat-Bulk.

Summary:
- Crystal system: cubic
- D(E_F): 11.12 states/eV/f.u.
- Uncorrected formation energy: -1.38 eV/atom

Unit cell a=7.673 b=7.673 c=7.673 alpha=109.47 beta=109.47 gamma=109.47
Element x y z (fractional)
F 0.860 0.684 0.175
F 0.316 0.825 0.140
F 0.140 0.316 0.825
F 0.316 0.175 0.491
Hg 0.500 0.500 0.000
F 0.491 0.316 0.175
F 0.825 0.509 0.684
F 0.684 0.825 0.509
Ag 0.000 0.500 0.000
Hg 0.500 0.000 0.500
Hg 0.000 0.500 0.500
Ag 0.000 0.000 0.500
Ag 0.500 0.000 0.000
F 0.684 0.175 0.860
Ag 0.500 0.500 0.500
F 0.825 0.140 0.316
Rb 0.000 0.000 0.000
F 0.175 0.491 0.316
F 0.175 0.860 0.684
F 0.509 0.684 0.825

No. 7
First-principles (GGA-PBE) data for an optimized crystal structure of Rb3AgHg2F8, as listed in Alexandria via LeMat-Bulk.

Summary:
- Crystal system: trigonal
- Uncorrected formation energy: -1.88 eV/atom

Unit cell a=6.397 b=6.397 c=8.484 alpha=90.00 beta=90.00 gamma=120.00
Element x y z (fractional)
F 0.167 0.333 0.322
F 0.833 0.667 0.678
Rb 0.667 0.333 0.393
F 0.833 0.167 0.678
Hg 0.333 0.667 0.171
F 0.667 0.833 0.322
F 0.333 0.667 0.921
F 0.333 0.167 0.678
Ag 0.000 0.000 0.500
F 0.167 0.833 0.322
Rb 0.000 0.000 0.000
Hg 0.667 0.333 0.829
Rb 0.333 0.667 0.607
F 0.667 0.333 0.079

No. 8
First-principles (GGA-PBE) data for an optimized crystal structure of RbAg2Hg2F7, as listed in Alexandria via LeMat-Bulk.

Summary:
- Crystal system: triclinic
- D(E_F): 1.39 states/eV/f.u.
- Uncorrected formation energy: -1.48 eV/atom

Unit cell a=4.533 b=4.867 c=10.709 alpha=103.33 beta=101.93 gamma=89.99
Element x y z (fractional)
Ag 0.269 0.775 0.549
F 0.109 0.613 0.224
F 0.891 0.385 0.776
Hg 0.609 0.614 0.224
F 0.501 0.500 0.000
Hg 0.391 0.386 0.776
F 0.396 0.892 0.789
Rb 0.000 0.000 0.000
F 0.726 0.730 0.460
F 0.604 0.107 0.211
F 0.274 0.271 0.540
Ag 0.731 0.226 0.451

No. 9
First-principles (GGA-PBE) data for an optimized crystal structure of Rb2Ag2HgF6, as listed in Alexandria via LeMat-Bulk.

Summary:
- Crystal system: trigonal
- Uncorrected formation energy: -1.68 eV/atom

Unit cell a=6.862 b=6.862 c=7.193 alpha=61.51 beta=61.51 gamma=60.00
Element x y z (fractional)
Ag 0.421 0.421 0.738
Hg 0.000 0.000 0.000
F 0.233 0.233 0.739
F 0.233 0.795 0.739
Rb 0.790 0.790 0.630
Rb 0.210 0.210 0.370
Ag 0.579 0.579 0.262
F 0.795 0.233 0.739
F 0.767 0.767 0.261
F 0.767 0.205 0.261
F 0.205 0.767 0.261

No. 10
First-principles (GGA-PBE) data for an optimized crystal structure of Rb3Ag2HgF9, as listed in Alexandria via LeMat-Bulk.

Summary:
- Crystal system: trigonal
- D(E_F): 4.20 states/eV/f.u.
- Uncorrected formation energy: -1.90 eV/atom

Unit cell a=6.354 b=6.354 c=7.798 alpha=90.00 beta=90.00 gamma=120.00
Element x y z (fractional)
F 0.663 0.832 0.328
F 0.832 0.663 0.672
Rb 0.667 0.333 0.331
F 0.168 0.832 0.328
F 0.337 0.168 0.672
Rb 0.333 0.667 0.669
Ag 0.333 0.667 0.160
F 0.000 0.500 0.000
F 0.500 0.000 0.000
F 0.168 0.337 0.328
Hg 0.000 0.000 0.500
Ag 0.667 0.333 0.840
F 0.832 0.168 0.672
F 0.500 0.500 0.000
Rb 0.000 0.000 0.000

No. 11
First-principles (GGA-PBE) data for an optimized crystal structure of Rb4Ag3HgF12, as listed in Alexandria via LeMat-Bulk.

Summary:
- Crystal system: cubic
- D(E_F): 3.43 states/eV/f.u.
- Uncorrected formation energy: -1.89 eV/atom

Unit cell a=7.762 b=7.762 c=7.762 alpha=109.47 beta=109.47 gamma=109.47
Element x y z (fractional)
F 0.250 0.500 0.750
Rb 0.000 0.500 0.000
Rb 0.500 0.500 0.500
F 0.500 0.250 0.750
F 0.747 0.747 0.000
F 0.750 0.500 0.250
Ag 0.500 0.500 0.000
Ag 0.000 0.500 0.500
Ag 0.500 0.000 0.500
F 0.500 0.750 0.250
F 0.253 0.000 0.253
F 0.747 0.000 0.747
Rb 0.500 0.000 0.000
F 0.250 0.750 0.500
F 0.000 0.253 0.253
F 0.253 0.253 0.000
F 0.750 0.250 0.500
Hg 0.000 0.000 0.000
Rb 0.000 0.000 0.500
F 0.000 0.747 0.747

No. 12
First-principles (GGA-PBE) data for an optimized crystal structure of RbAgHgF4, as listed in Alexandria via LeMat-Bulk.

Summary:
- Crystal system: monoclinic
- Uncorrected formation energy: -1.65 eV/atom

Unit cell a=6.685 b=5.961 c=7.180 alpha=90.00 beta=105.11 gamma=90.00
Element x y z (fractional)
Hg 0.158 0.750 0.472
F 0.499 0.250 0.394
F 0.748 0.250 0.822
Hg 0.842 0.250 0.528
Ag 0.400 0.250 0.691
F 0.252 0.750 0.178
Rb 0.157 0.250 0.092
Ag 0.600 0.750 0.309
F 0.501 0.750 0.606
F 0.107 0.489 0.709
F 0.893 0.511 0.291
F 0.107 0.011 0.709
Rb 0.843 0.750 0.908
F 0.893 0.989 0.291